No. 1
The following is a PBE calculation of crystalline SbRh2W at its relaxed geometry, from Alexandria via LeMat-Bulk.

Cell lengths 4.0244, 4.0244, 3.9905 Å; angles 90.00, 90.00, 90.00 degrees
Atoms (fractional coordinates):
Sb: 0.5000 0.5000 0.5000
Rh: 0.5000 0.0000 0.0000
Rh: 0.0000 0.5000 0.0000
W: 0.0000 0.0000 0.5000

Results
Crystal system = tetragonal
Formation energy without anion corrections = 0.45 eV/f.u.
Magnetic moment = 0.000 μB/f.u.
D(E_F) = 0.814 states/eV per atom

***

No. 2
The following is a PBE calculation of crystalline Pm2SiPt6 at its relaxed geometry, from Alexandria via LeMat-Bulk.

Cell lengths 5.8841, 5.7056, 5.7056 Å; angles 59.99, 89.98, 89.98 degrees
Atoms (fractional coordinates):
Pm: 0.8419 0.6665 0.6665
Pm: 0.1581 0.3335 0.3335
Si: 0.0000 0.0000 0.0000
Pt: 0.3019 0.3413 0.8292
Pt: 0.3024 0.8293 0.8293
Pt: 0.3019 0.8292 0.3413
Pt: 0.6981 0.6587 0.1708
Pt: 0.6976 0.1707 0.1707
Pt: 0.6981 0.1708 0.6587

Results
Crystal system = trigonal
Formation energy without anion corrections = -9.29 eV/f.u.
Magnetic moment = 0.000 μB/f.u.
D(E_F) = 0.386 states/eV per atom
Excess energy over the best structure of this formula in the dataset = 0 meV/atom

***

No. 3
The following is a PBE calculation of crystalline RbSbI3 at its relaxed geometry, from Alexandria via LeMat-Bulk.

Cell lengths 6.1863, 6.1863, 6.1863 Å; angles 90.00, 90.00, 90.00 degrees
Atoms (fractional coordinates):
I: 0.0000 0.5000 0.0000
I: 0.0000 0.0000 0.5000
I: 0.5000 0.0000 0.0000
Sb: 0.0000 0.0000 0.0000
Rb: 0.5000 0.5000 0.5000

Results
Crystal system = cubic
Formation energy without anion corrections = -3.41 eV/f.u.
Magnetic moment = 0.000 μB/f.u.
D(E_F) = 0.332 states/eV per atom
Excess energy over the best structure of this formula in the dataset = 33 meV/atom

***

No. 4
The following is a PBE calculation of crystalline Sm4Ho4In at its relaxed geometry, from Alexandria via LeMat-Bulk.

Cell lengths 4.9320, 7.9282, 7.9282 Å; angles 84.45, 71.88, 71.88 degrees
Atoms (fractional coordinates):
Sm: 0.6617 0.6765 0.0001
Sm: 0.3383 0.3235 0.9999
Sm: 0.6618 0.9999 0.6765
Sm: 0.3382 0.0001 0.3235
Ho: 0.6649 0.3351 0.3351
Ho: 0.3351 0.6649 0.6649
Ho: 0.0000 0.6649 0.3351
Ho: 0.0000 0.3351 0.6649
In: 0.0000 0.0000 0.0000

Results
Crystal system = tetragonal
ΔH_f (0 K) = -0.0713 eV per atom
Magnetic moment = 0.000 μB/f.u.
D(E_F) = 1.407 states/eV per atom

***

Q: The lowest D(E_F) belongs to which entry?
A: RbSbI3

***

Q: What is the magnetic moment in the third record?
A: 0.000 μB/f.u.

***

Q: Which value of D(E_F) does entry 2 give?
A: 0.386 states/eV per atom

***

Q: What is the magnetic moment in the third record?
A: 0.000 μB/f.u.